Version i
CaLaAs3 after structural relaxation. Source: Alexandria via LeMat-Bulk, functional PBE.

Cell: 5.5691 5.5691 5.5691 Å, 90.00 90.00 90.00°
Closest atoms and distances in Å follow each position.
Element x y z (fractional)
As (0.5000, 0.0000, 0.0000)  2 La 2.78
As (0.0000, 0.5000, 0.0000)  2 La 2.78
Ca (0.5000, 0.5000, 0.5000)  12 As 3.94
As (0.0000, 0.0000, 0.5000)  2 La 2.78
La (0.0000, 0.0000, 0.0000)  6 As 2.78

Summary:
- space group = Pm-3m
- DOS(E_F) (states/eV per atom) = 1.315
- crystal system = cubic

=====

Version ii
CaLaAs3 after structural relaxation. Source: Alexandria via LeMat-Bulk, functional PBE.

Cell: 5.2281 5.2281 5.2281 Å, 90.00 90.00 90.00°
Closest atoms and distances in Å follow each position.
Element x y z (fractional)
As (0.0000, 0.0000, 0.5000)  2 Ca 2.61
As (0.0000, 0.5000, 0.0000)  2 Ca 2.61
As (0.5000, 0.0000, 0.0000)  2 Ca 2.61
La (0.5000, 0.5000, 0.5000)  12 As 3.70
Ca (0.0000, 0.0000, 0.0000)  6 As 2.61

Summary:
- space group = Pm-3m
- DOS(E_F) (states/eV per atom) = 0.642
- crystal system = cubic

=====

Tell me which of them is the least stable. Sure, it is version i.

=====

Version i
CaMg3As after structural relaxation. Source: Alexandria via LeMat-Bulk, functional PBE.

Cell: 5.7668 5.7668 5.7668 Å, 90.00 90.00 90.00°
Closest atoms and distances in Å follow each position.
Element x y z (fractional)
As (0.5000, 0.5000, 0.5000)  12 Mg 4.08
Mg (0.5000, 0.0000, 0.0000)  2 Ca 2.88
Mg (0.0000, 0.5000, 0.0000)  2 Ca 2.88
Mg (0.0000, 0.0000, 0.5000)  2 Ca 2.88
Ca (0.0000, 0.0000, 0.0000)  6 Mg 2.88

Summary:
- space group = Pm-3m
- DOS(E_F) (states/eV per atom) = 1.224
- crystal system = cubic

=====

Version ii
CaMg3As after structural relaxation. Source: Alexandria via LeMat-Bulk, functional PBE.

Cell: 5.2257 5.2257 5.2257 Å, 90.00 90.00 90.00°
Closest atoms and distances in Å follow each position.
Element x y z (fractional)
Mg (0.5000, 0.0000, 0.0000)  2 As 2.61
Mg (0.0000, 0.5000, 0.0000)  2 As 2.61
Ca (0.5000, 0.5000, 0.5000)  12 Mg 3.70
As (0.0000, 0.0000, 0.0000)  6 Mg 2.61
Mg (0.0000, 0.0000, 0.5000)  2 As 2.61

Summary:
- space group = Pm-3m
- DOS(E_F) (states/eV per atom) = 0.594
- crystal system = cubic

=====

Tell me which of them is the least stable. Sure, it is version i.

=====

Version i
CaMgAs3 after structural relaxation. Source: Alexandria via LeMat-Bulk, functional PBE.

Cell: 5.3086 5.3086 5.3086 Å, 90.00 90.00 90.00°
Closest atoms and distances in Å follow each position.
Element x y z (fractional)
Mg (0.5000, 0.5000, 0.5000)  12 As 3.75
As (0.0000, 0.5000, 0.0000)  2 Ca 2.65
As (0.0000, 0.0000, 0.5000)  2 Ca 2.65
As (0.5000, 0.0000, 0.0000)  2 Ca 2.65
Ca (0.0000, 0.0000, 0.0000)  6 As 2.65

Summary:
- space group = Pm-3m
- DOS(E_F) (states/eV per atom) = 0.986
- crystal system = cubic

=====

Version ii
CaMgAs3 after structural relaxation. Source: Alexandria via LeMat-Bulk, functional PBE.

Cell: 5.0130 5.0130 5.0130 Å, 90.00 90.00 90.00°
Closest atoms and distances in Å follow each position.
Element x y z (fractional)
As (0.0000, 0.5000, 0.0000)  2 Mg 2.51
As (0.5000, 0.0000, 0.0000)  2 Mg 2.51
As (0.0000, 0.0000, 0.5000)  2 Mg 2.51
Ca (0.5000, 0.5000, 0.5000)  12 As 3.54
Mg (0.0000, 0.0000, 0.0000)  6 As 2.51

Summary:
- space group = Pm-3m
- DOS(E_F) (states/eV per atom) = 0.627
- crystal system = cubic

=====

Tell me which of them is the least stable. Sure, it is version i.

=====

Version i
CaMgAsSe2 after structural relaxation. Source: Alexandria via LeMat-Bulk, functional PBE.

Cell: 5.3850 5.3850 5.3507 Å, 90.00 90.00 90.00°
Closest atoms and distances in Å follow each position.
Element x y z (fractional)
Se (0.0000, 0.5000, 0.0000)  2 Ca 2.69
As (0.0000, 0.0000, 0.5000)  2 Ca 2.68
Mg (0.5000, 0.5000, 0.5000)  8 Se 3.80, 4 As 3.81
Ca (0.0000, 0.0000, 0.0000)  2 As 2.68, 4 Se 2.69
Se (0.5000, 0.0000, 0.0000)  2 Ca 2.69

Summary:
- space group = P4/mmm
- DOS(E_F) (states/eV per atom) = 1.134
- crystal system = tetragonal

=====

Version ii
CaMgAsSe2 after structural relaxation. Source: Alexandria via LeMat-Bulk, functional PBE.

Cell: 5.1748 5.1748 4.8778 Å, 90.00 90.00 90.00°
Closest atoms and distances in Å follow each position.
Element x y z (fractional)
As (0.0000, 0.0000, 0.5000)  2 Mg 2.44
Ca (0.5000, 0.5000, 0.5000)  8 Se 3.56, 4 As 3.66
Mg (0.0000, 0.0000, 0.0000)  2 As 2.44, 4 Se 2.59
Se (0.0000, 0.5000, 0.0000)  2 Mg 2.59
Se (0.5000, 0.0000, 0.0000)  2 Mg 2.59

Summary:
- space group = P4/mmm
- DOS(E_F) (states/eV per atom) = 0.923
- crystal system = tetragonal

=====

Tell me which of them is the least stable. Sure, it is version i.

=====

Version i
Ca2Mn2As after structural relaxation. Source: Alexandria via LeMat-Bulk, functional PBE.

Cell: 7.6336 7.6336 4.6463 Å, 90.00 90.00 90.00°
Closest atoms and distances in Å follow each position.
Element x y z (fractional)
Mn (0.8755, 0.3755, 0.5000)  1 Mn 2.69
Ca (0.3346, 0.8346, 0.0000)  2 As 2.85
Mn (0.1245, 0.6245, 0.5000)  1 Mn 2.69
Ca (0.6654, 0.1654, 0.0000)  2 As 2.85
Ca (0.1654, 0.3346, 0.0000)  2 As 2.85
Ca (0.8346, 0.6654, 0.0000)  2 As 2.85
Mn (0.3755, 0.1245, 0.5000)  1 Mn 2.69
As (0.5000, 0.5000, 0.0000)  4 Ca 2.85
Mn (0.6245, 0.8755, 0.5000)  1 Mn 2.69
As (0.0000, 0.0000, 0.0000)  4 Ca 2.85

Summary:
- space group = P4/mbm
- DOS(E_F) (states/eV per atom) = 0.961
- crystal system = tetragonal

=====

Version ii
Ca2Mn2As after structural relaxation. Source: Alexandria via LeMat-Bulk, functional PBE.

Cell: 3.2699 3.2699 9.4826 Å, 80.07 80.07 90.00°
Closest atoms and distances in Å follow each position.
Element x y z (fractional)
Mn (0.2500, 0.7500, 0.5000)  4 Mn 2.31
As (0.0000, 0.0000, 0.0000)  8 Ca 3.05, 4 As 3.27
Ca (0.3920, 0.3920, 0.2159)  4 As 3.05, 4 Mn 3.08, 4 Ca 3.27
Mn (0.7500, 0.2500, 0.5000)  4 Mn 2.31
Ca (0.6080, 0.6080, 0.7841)  4 As 3.05, 4 Mn 3.08, 4 Ca 3.27

Summary:
- space group = I4/mmm
- DOS(E_F) (states/eV per atom) = 1.086
- crystal system = tetragonal

=====

Tell me which of them is the least stable. Sure, it is version i.

=====

Version i
CaMnNiAs2 after structural relaxation. Source: Alexandria via LeMat-Bulk, functional PBE.

Cell: 4.7372 4.5973 4.7372 Å, 90.00 90.00 90.00°
Closest atoms and distances in Å follow each position.
Element x y z (fractional)
Ca (0.5000, 0.5000, 0.5000)  8 As 3.30, 4 Mn 3.35
Mn (0.0000, 0.5000, 0.0000)  2 Ni 2.30
Ni (0.0000, 0.0000, 0.0000)  2 Mn 2.30, 4 As 2.37
As (0.5000, 0.0000, 0.0000)  2 Ni 2.37
As (0.0000, 0.0000, 0.5000)  2 Ni 2.37

Summary:
- space group = P4/mmm
- DOS(E_F) (states/eV per atom) = 0.758
- crystal system = tetragonal

=====

Version ii
CaMnNiAs2 after structural relaxation. Source: Alexandria via LeMat-Bulk, functional PBE.

Cell: 3.8781 3.8781 6.4123 Å, 107.60 107.60 90.00°
Closest atoms and distances in Å follow each position.
Element x y z (fractional)
Ca (0.0000, 0.0000, 0.0000)  8 As 3.16, 4 Ni 3.49, 4 Mn 3.49
As (0.6360, 0.6360, 0.2720)  2 Mn 2.35, 2 Ni 2.35
Ni (0.2500, 0.7500, 0.5000)  4 As 2.35
Mn (0.7500, 0.2500, 0.5000)  4 As 2.35
As (0.3640, 0.3640, 0.7280)  2 Mn 2.35, 2 Ni 2.35

Summary:
- space group = I-4m2
- DOS(E_F) (states/eV per atom) = 0.627
- crystal system = tetragonal

=====

Tell me which of them is the least stable. Sure, it is version i.